DFT (PBE) results for a geometry-optimized Na2Cd4Cl9 structure.

```
data_Na2Cd4Cl9
_symmetry_space_group_name_H-M 'C 1 2/c 1'
_symmetry_Int_Tables_number 15
_cell_length_a 11.9927
_cell_length_b 6.9227
_cell_length_c 19.0809
_cell_angle_alpha 90.00
_cell_angle_beta 90.02
_cell_angle_gamma 90.00
loop_
_symmetry_equiv_pos_as_xyz
'x,y,z'
'-x,-y,-z'
'-x,y,-z+1/2'
'x,-y,z+1/2'
'x+1/2,y+1/2,z'
'-x+1/2,-y+1/2,-z'
'-x+1/2,y+1/2,-z+1/2'
'x+1/2,-y+1/2,z+1/2'
loop_
_atom_site_label
_atom_site_fract_x
_atom_site_fract_y
_atom_site_fract_z
Na1 0.0004 0.9996 0.1493
Cd1 0.1670 0.4992 0.3119
Cd2 0.1667 0.4999 0.0117
Cl1 0.0000 0.3139 0.2500
Cl2 0.0087 0.3630 0.9197
Cl3 0.1574 0.1583 0.7500
Cl4 0.1766 0.1945 0.4198
Cl5 0.1860 0.1678 0.0802
```

Calculated total energy (eV per atom): -2.69
Magnetic moment (μB per formula unit): 0.00
Formation energy without anion corrections (eV/f.u.): -17.472